# 1
Entry from Alexandria via LeMat-Bulk: crystalline Ba2Cd6CuPd at its relaxed geometry (GGA-PBE).

The structure in POSCAR format:
```
Ba2Cd6CuPd
1.0
7.410 -0.003 0.001
-0.003 7.410 0.001
3.704 3.704 5.230
Cd Pd Cu Ba
6 1 1 2
Direct
0.746 0.746 0.509
0.254 0.746 0.000
0.746 0.746 0.000
0.746 0.254 0.000
0.254 0.254 0.491
0.254 0.254 0.000
0.000 0.000 0.000
0.500 0.500 0.000
0.250 0.750 0.500
0.750 0.250 0.500
```

Energy relative to the elements   -221 kJ/mol of formula units
Space-group type   I4/mmm, No. 139



# 2
Entry from Alexandria via LeMat-Bulk: crystalline BaCdCuPd at its relaxed geometry (GGA-PBE).

The structure in POSCAR format:
```
BaCdCuPd
1.0
-0.514 -1.708 -4.331
-3.212 -0.923 3.279
-0.465 5.707 -2.196
Ba Cd Pd Cu
1 1 1 1
Direct
0.617 0.234 0.495
0.117 0.235 0.994
0.424 0.849 0.915
0.807 0.615 0.064
```

Energy relative to the elements   -123 kJ/mol of formula units
Space-group type   Cm, No. 8



# 3
Entry from Alexandria via LeMat-Bulk: crystalline Ba2CdCu2Pd5 at its relaxed geometry (GGA-PBE).

The structure in POSCAR format:
```
Ba2CdCu2Pd5
1.0
-1.587 -1.453 -3.291
8.681 -4.793 -2.070
-3.246 -8.101 5.143
Pd Ba Cu Cd
10 4 4 2
Direct
0.500 0.289 0.560
0.500 0.560 0.711
0.500 0.211 0.060
0.500 0.440 0.289
0.500 0.789 0.940
0.500 0.000 0.500
0.500 0.500 0.000
0.500 0.060 0.789
0.500 0.940 0.211
0.500 0.711 0.440
0.000 0.680 0.180
0.000 0.320 0.820
0.000 0.180 0.320
0.000 0.820 0.680
0.000 0.382 0.118
0.000 0.882 0.382
0.000 0.118 0.618
0.000 0.618 0.882
0.000 0.500 0.500
0.000 0.000 0.000
```

Energy relative to the elements   -322 kJ/mol of formula units
Space-group type   P4/mbm, No. 127



# 4
Entry from Alexandria via LeMat-Bulk: crystalline Ba2CdCuPt at its relaxed geometry (GGA-PBE).

The structure in POSCAR format:
```
Ba2CdCuPt
1.0
6.110 0.000 0.000
0.000 6.110 0.000
0.000 0.000 4.873
Ba Pt Cu Cd
2 1 1 1
Direct
0.500 0.000 0.000
0.000 0.500 0.000
0.000 0.000 0.000
0.000 0.000 0.500
0.500 0.500 0.500
```

Energy relative to the elements   -122 kJ/mol of formula units
Space-group type   P4/mmm, No. 123